This record from Alexandria via LeMat-Bulk describes ErPu2P3 after structural relaxation. The functional is GGA-PBE.

Cell and atoms, written as CIF:
```
data_ErPu2P3
_chemical_formula_sum 'Er2 Pu4 P6'
_cell_length_a 3.988
_cell_length_b 5.628
_cell_length_c 11.931
_cell_angle_alpha 90.00
_cell_angle_beta 90.00
_cell_angle_gamma 90.00
_symmetry_space_group_name_H-M 'I m m m'
_symmetry_Int_Tables_number 71
_symmetry_space_group_name_Hall '-I 2 2'
loop_
_atom_site_label
_atom_site_fract_x
_atom_site_fract_y
_atom_site_fract_z
_atom_site_occupancy
Er1 0.000 0.000 0.000 1
Pu1 0.000 0.000 0.334 1
P1 0.000 0.500 0.000 1
P2 0.000 0.500 0.331 1
```

Values from the calculation:
ΔH_f (0 K): -1.307 eV per atom

This record from Alexandria via LeMat-Bulk describes TaNbVCr after structural relaxation. The functional is GGA-PBE.

Cell and atoms, written as CIF:
```
data_TaNbVCr
_chemical_formula_sum 'Ta4 Nb4 V4 Cr4'
_cell_length_a 6.272
_cell_length_b 6.272
_cell_length_c 6.272
_cell_angle_alpha 90.00
_cell_angle_beta 90.00
_cell_angle_gamma 90.00
_symmetry_space_group_name_H-M 'F -4 3 m'
_symmetry_Int_Tables_number 216
_symmetry_space_group_name_Hall 'F -4 2 3'
loop_
_atom_site_label
_atom_site_fract_x
_atom_site_fract_y
_atom_site_fract_z
_atom_site_occupancy
Ta1 0.000 0.000 0.000 1
Nb1 0.000 0.000 0.500 1
V1 0.250 0.250 0.750 1
Cr1 0.250 0.250 0.250 1
```

Values from the calculation:
ΔH_f (0 K): 0.025 eV per atom

This record from Alexandria via LeMat-Bulk describes SmGa2CoRu after structural relaxation. The functional is GGA-PBE.

Cell and atoms, written as CIF:
```
data_SmGa2CoRu
_chemical_formula_sum 'Sm2 Ga4 Co2 Ru2'
_cell_length_a 4.280
_cell_length_b 4.280
_cell_length_c 9.678
_cell_angle_alpha 90.00
_cell_angle_beta 90.00
_cell_angle_gamma 90.00
_symmetry_space_group_name_H-M 'I -4 m 2'
_symmetry_Int_Tables_number 119
_symmetry_space_group_name_Hall 'I -4 -2'
loop_
_atom_site_label
_atom_site_fract_x
_atom_site_fract_y
_atom_site_fract_z
_atom_site_occupancy
Sm1 0.000 0.000 0.000 1
Ga1 0.000 0.000 0.366 1
Co1 0.000 0.500 0.250 1
Ru1 0.000 0.500 0.750 1
```

Values from the calculation:
ΔH_f (0 K): -0.402 eV per atom

This record from Alexandria via LeMat-Bulk describes KBa after structural relaxation. The functional is GGA-PBE.

Cell and atoms, written as CIF:
```
data_KBa
_chemical_formula_sum 'K8 Ba8'
_cell_length_a 13.767
_cell_length_b 13.767
_cell_length_c 13.767
_cell_angle_alpha 90.00
_cell_angle_beta 90.00
_cell_angle_gamma 90.00
_symmetry_space_group_name_H-M 'I -4 3 m'
_symmetry_Int_Tables_number 217
_symmetry_space_group_name_Hall 'I -4 2 3'
loop_
_atom_site_label
_atom_site_fract_x
_atom_site_fract_y
_atom_site_fract_z
_atom_site_occupancy
K1 0.200 0.200 0.200 1
Ba1 0.110 0.110 0.890 1
```

Values from the calculation:
ΔH_f (0 K): 0.541 eV per atom

This record from Alexandria via LeMat-Bulk describes Pr5DyIn3 after structural relaxation. The functional is GGA-PBE.

Cell and atoms, written as CIF:
```
data_Pr5DyIn3
_chemical_formula_sum 'Pr10 Dy2 In6'
_cell_length_a 9.6397
_cell_length_b 9.6397
_cell_length_c 6.9590
_cell_angle_alpha 90.00
_cell_angle_beta 90.00
_cell_angle_gamma 120.00
_symmetry_space_group_name_H-M 'P 63/m c m'
_symmetry_Int_Tables_number 193
_symmetry_space_group_name_Hall '-P 6c 2'
loop_
_atom_site_label
_atom_site_fract_x
_atom_site_fract_y
_atom_site_fract_z
_atom_site_occupancy
Pr1 0.0000 0.3386 0.2500 1
Pr2 0.3333 0.6667 0.0000 1
Dy1 0.0000 0.0000 0.0000 1
In1 0.0000 0.3236 0.7500 1
```

Values from the calculation:
ΔH_f (0 K): -0.341 eV per atom

This record from Alexandria via LeMat-Bulk describes LiAlIn3 after structural relaxation. The functional is GGA-PBE.

Cell and atoms, written as CIF:
```
data_LiAlIn3
_chemical_formula_sum 'Li1 Al1 In3'
_cell_length_a 5.368
_cell_length_b 5.368
_cell_length_c 5.368
_cell_angle_alpha 90.00
_cell_angle_beta 90.00
_cell_angle_gamma 90.00
_symmetry_space_group_name_H-M 'P m -3 m'
_symmetry_Int_Tables_number 221
_symmetry_space_group_name_Hall '-P 4 2 3'
loop_
_atom_site_label
_atom_site_fract_x
_atom_site_fract_y
_atom_site_fract_z
_atom_site_occupancy
Li1 0.000 0.000 0.000 1
Al1 0.500 0.500 0.500 1
In1 0.000 0.500 0.500 1
```

Values from the calculation:
ΔH_f (0 K): 0.277 eV per atom
offset from the most stable computed form: 0 meV/atom

This record from Alexandria via LeMat-Bulk describes LiNd2H6O6 after structural relaxation. The functional is GGA-PBE.

Cell and atoms, written as CIF:
```
data_LiNd2H6O6
_chemical_formula_sum 'Li1 Nd2 H6 O6'
_cell_length_a 6.696
_cell_length_b 3.581
_cell_length_c 7.673
_cell_angle_alpha 90.00
_cell_angle_beta 112.74
_cell_angle_gamma 90.00
_symmetry_space_group_name_H-M 'P 1 m 1'
_symmetry_Int_Tables_number 6
loop_
_symmetry_equiv_pos_as_xyz
'x,y,z'
'x,-y,z'
loop_
_atom_site_label
_atom_site_fract_x
_atom_site_fract_y
_atom_site_fract_z
_atom_site_occupancy
Li1 0.000 0.000 0.000 1
Nd1 0.106 0.000 0.427 1
Nd2 0.694 0.500 0.639 1
H1 0.146 0.000 0.804 1
H2 0.235 0.500 0.162 1
H3 0.319 0.500 0.758 1
H4 0.486 0.000 0.303 1
H5 0.589 0.000 0.913 1
H6 0.718 0.500 0.255 1
O1 0.095 0.500 0.178 1
O2 0.316 0.500 0.628 1
O3 0.482 0.000 0.430 1
O4 0.698 0.000 0.856 1
O5 0.833 0.500 0.382 1
O6 0.994 0.000 0.711 1
```

Values from the calculation:
offset from the most stable computed form: 0 meV/atom

This record from Alexandria via LeMat-Bulk describes Ce4TlNi after structural relaxation. The functional is GGA-PBE.

Cell and atoms, written as CIF:
```
data_Ce4TlNi
_chemical_formula_sum 'Ce16 Tl4 Ni4'
_cell_length_a 7.787
_cell_length_b 14.280
_cell_length_c 5.985
_cell_angle_alpha 90.00
_cell_angle_beta 113.34
_cell_angle_gamma 90.00
_symmetry_space_group_name_H-M 'C 1 2/c 1'
_symmetry_Int_Tables_number 15
loop_
_symmetry_equiv_pos_as_xyz
'x,y,z'
'-x,-y,-z'
'-x,y,-z+1/2'
'x,-y,z+1/2'
'x+1/2,y+1/2,z'
'-x+1/2,-y+1/2,-z'
'-x+1/2,y+1/2,-z+1/2'
'x+1/2,-y+1/2,z+1/2'
loop_
_atom_site_label
_atom_site_fract_x
_atom_site_fract_y
_atom_site_fract_z
_atom_site_occupancy
Ce1 0.058 0.193 0.060 1
Ce2 0.236 0.415 0.361 1
Tl1 0.000 0.389 0.750 1
Ni1 0.000 0.008 0.750 1
```

Values from the calculation:
ΔH_f (0 K): -0.143 eV per atom

This record from Alexandria via LeMat-Bulk describes In2NiAu after structural relaxation. The functional is GGA-PBE.

Cell and atoms, written as CIF:
```
data_In2NiAu
_chemical_formula_sum 'In2 Ni1 Au1'
_cell_length_a 3.663
_cell_length_b 3.663
_cell_length_c 5.678
_cell_angle_alpha 90.00
_cell_angle_beta 90.00
_cell_angle_gamma 90.00
_symmetry_space_group_name_H-M 'P 4 m m'
_symmetry_Int_Tables_number 99
loop_
_symmetry_equiv_pos_as_xyz
'x,y,z'
'-y,x,z'
'-x,-y,z'
'y,-x,z'
'-x,y,z'
'y,x,z'
'x,-y,z'
'-y,-x,z'
loop_
_atom_site_label
_atom_site_fract_x
_atom_site_fract_y
_atom_site_fract_z
_atom_site_occupancy
In1 0.000 0.000 0.000 1
In2 0.500 0.500 0.320 1
Ni1 0.000 0.000 0.498 1
Au1 0.500 0.500 0.793 1
```

Values from the calculation:
ΔH_f (0 K): -0.020 eV per atom
offset from the most stable computed form: 108 meV/atom

This record from Alexandria via LeMat-Bulk describes Na3CaAu3 after structural relaxation. The functional is GGA-PBE.

Cell and atoms, written as CIF:
```
data_Na3CaAu3
_chemical_formula_sum 'Na6 Ca2 Au6'
_cell_length_a 7.858
_cell_length_b 7.858
_cell_length_c 7.858
_cell_angle_alpha 90.00
_cell_angle_beta 90.00
_cell_angle_gamma 90.00
_symmetry_space_group_name_H-M 'P m -3 n'
_symmetry_Int_Tables_number 223
_symmetry_space_group_name_Hall '-P 4n 2 3'
loop_
_atom_site_label
_atom_site_fract_x
_atom_site_fract_y
_atom_site_fract_z
_atom_site_occupancy
Na1 0.000 0.250 0.500 1
Ca1 0.000 0.000 0.000 1
Au1 0.000 0.500 0.250 1
```

Values from the calculation:
ΔH_f (0 K): 0.072 eV per atom

This record from Alexandria via LeMat-Bulk describes Ho2NiP3Rh4 after structural relaxation. The functional is GGA-PBE.

Cell and atoms, written as CIF:
```
data_Ho2NiP3Rh4
_chemical_formula_sum 'Ho2 Ni1 P3 Rh4'
_cell_length_a 4.041
_cell_length_b 4.041
_cell_length_c 9.782
_cell_angle_alpha 90.00
_cell_angle_beta 90.00
_cell_angle_gamma 90.00
_symmetry_space_group_name_H-M 'P -4 m 2'
_symmetry_Int_Tables_number 115
loop_
_symmetry_equiv_pos_as_xyz
'x,y,z'
'y,-x,-z'
'-x,-y,z'
'-y,x,-z'
'-x,y,z'
'-y,-x,-z'
'x,-y,z'
'y,x,-z'
loop_
_atom_site_label
_atom_site_fract_x
_atom_site_fract_y
_atom_site_fract_z
_atom_site_occupancy
Ho1 0.000 0.500 0.239 1
Ni1 0.500 0.500 0.000 1
P1 0.000 0.000 0.000 1
P2 0.000 0.500 0.637 1
Rh1 0.000 0.000 0.500 1
Rh2 0.000 0.500 0.867 1
Rh3 0.500 0.500 0.500 1
```

Values from the calculation:
ΔH_f (0 K): -0.978 eV per atom

This record from Alexandria via LeMat-Bulk describes PuBi2SbPd2 after structural relaxation. The functional is GGA-PBE.

Cell and atoms, written as CIF:
```
data_PuBi2SbPd2
_chemical_formula_sum 'Pu2 Bi4 Sb2 Pd4'
_cell_length_a 5.532
_cell_length_b 5.532
_cell_length_c 11.187
_cell_angle_alpha 90.00
_cell_angle_beta 90.00
_cell_angle_gamma 90.00
_symmetry_space_group_name_H-M 'I 4/m m m'
_symmetry_Int_Tables_number 139
_symmetry_space_group_name_Hall '-I 4 2'
loop_
_atom_site_label
_atom_site_fract_x
_atom_site_fract_y
_atom_site_fract_z
_atom_site_occupancy
Pu1 0.000 0.000 0.000 1
Bi1 0.000 0.500 0.250 1
Sb1 0.000 0.000 0.500 1
Pd1 0.000 0.000 0.261 1
```

Values from the calculation:
energy relative to the elements, uncorrected: -16 meV per atom